Compound: Hf6NbSn2
Source: the Alexandria database
Functional: PBE
Structure: optimized geometry

Geometry as CIF:
```
data_Hf6NbSn2
_chemical_formula_sum 'Hf6 Nb1 Sn2'
_space_group_name_H-M_alt 'P -6 2 m'
_space_group_IT_number 189
_space_group_name_Hall 'P -6 -2'
_cell_length_a 7.8444
_cell_length_b 7.8444
_cell_length_c 3.7338
_cell_angle_alpha 90.00
_cell_angle_beta 90.00
_cell_angle_gamma 120.00
loop_
_atom_site_label
_atom_site_type_symbol
_atom_site_fract_x
_atom_site_fract_y
_atom_site_fract_z
Hf1 Hf 0.0000 0.2533 0.0000
Hf2 Hf 0.0000 0.6078 0.5000
Nb1 Nb 0.0000 0.0000 0.5000
Sn1 Sn 0.3333 0.6667 0.0000
```

Energy of formation from the pure elements   -0.176 eV/atom
Total magnetic moment   0.0 μB per formula unit